1.
58
Lattice="-6.982 -0.387 -3.569 4.283 -1.236 -8.243 3.014 -9.387 2.973" Properties=species:S:1:pos:R:3 comment="LiNb10O18 (meta-GGA SCAN, single point on PBEsol structure)" magmom_total_mub_per_fu=0.98 energy_ev_per_cell=-1038.8 sg="P2_1/c, No. 14" crystal_system=monoclinic pbc="T T T"
Nb -0.286 -1.893 -9.147
Nb -0.369 -9.327 -5.508
Nb 1.839 -3.788 -7.914
Nb 0.684 -1.682 -3.332
Nb 4.262 -10.051 -2.957
Nb -0.850 -4.930 -8.969
Nb 1.165 -6.080 0.129
Nb 3.122 -2.351 -4.592
Nb 0.132 -4.722 -3.179
Nb 3.810 -5.662 -6.475
Nb -5.459 -3.634 -3.531
Nb -1.524 -7.222 -0.926
Nb 5.774 -7.375 -5.309
Nb -3.947 -0.958 -5.883
Nb 2.183 -8.145 -4.188
Nb -1.868 -2.864 -4.652
Nb 0.183 -6.287 -5.661
Nb 0.601 -9.116 0.307
Nb -2.807 -8.658 -4.248
Nb -3.495 -5.347 -2.365
O -1.492 -8.700 0.469
O 3.206 -8.221 -2.490
O 2.254 -2.376 -6.500
O 1.099 -4.707 -1.418
O 4.150 -4.192 -5.074
O 3.731 -7.061 -4.956
O 1.807 -2.309 -9.309
O -0.906 -4.611 -5.047
O -0.784 -6.302 -7.422
O -2.891 -2.788 -6.350
O 1.069 -7.636 1.584
O -0.342 -1.761 -5.217
O 3.101 -9.834 -4.853
O -0.926 -3.038 -2.806
O -3.835 -6.817 -3.766
O 1.636 -5.153 -6.420
O 1.610 -3.534 -3.845
O 0.487 -7.704 -1.139
O -0.172 -3.305 -7.701
O -2.266 -1.616 -8.956
O 1.272 -5.167 -9.194
O 3.791 -4.132 -8.003
O -1.295 -7.476 -4.995
O -1.321 -5.856 -2.419
O 1.241 -7.972 -6.034
O -1.939 -8.633 -2.340
O 5.763 -8.916 -3.792
O -3.476 -6.878 -0.836
O -2.786 -1.175 -3.987
O 1.221 -6.398 -3.793
O -0.957 -5.842 0.354
O 2.581 -9.393 0.117
O 0.657 -9.249 -3.623
O -5.448 -2.093 -5.048
O -0.754 -3.373 -10.424
O -3.416 -3.949 -3.884
Li 3.648 -5.311 -2.635
Li 0.000 0.000 0.000

2.
20
Lattice="5.216 0.022 0.014 -2.179 4.739 0.014 -0.313 -0.491 9.802" Properties=species:S:1:pos:R:3 comment="LiNbO3 (meta-GGA SCAN, single point on PBEsol structure)" magmom_total_mub_per_fu=0.00 energy_ev_per_cell=-269.5 sg="C2/c, No. 15" crystal_system=monoclinic pbc="T T T"
Nb 0.057 1.279 5.021
Nb 1.432 3.433 9.712
Nb 2.666 2.991 4.811
Nb 1.292 0.837 0.119
O 0.226 4.428 1.261
O 2.498 -0.158 8.570
O -1.040 2.443 3.669
O 1.171 2.573 6.079
O -2.095 3.544 8.830
O 1.996 2.392 1.178
O -1.531 4.430 5.902
O 4.819 0.725 1.001
O 4.254 -0.160 3.929
O 0.728 1.878 8.653
O 1.552 1.697 3.752
O 3.764 1.826 6.162
Li 0.467 2.878 2.465
Li -0.543 3.177 7.366
Li 3.267 1.092 2.465
Li 2.256 1.392 7.366

3.
15
Lattice="-0.524 -3.950 -3.658 -1.649 -0.792 5.092 -3.745 4.653 -0.489" Properties=species:S:1:pos:R:3 comment="Li8NbO6 (meta-GGA SCAN, single point on PBEsol structure)" magmom_total_mub_per_fu=1.00 energy_ev_per_cell=-122.5 sg="R-3, No. 148" crystal_system=trigonal pbc="T T T"
Li -2.849 2.277 0.407
Li -3.069 -2.366 0.538
Li -2.293 0.279 1.384
Li -4.903 2.764 1.717
Li -1.836 -0.755 -1.820
Li -1.015 -2.853 -0.772
Li -4.082 0.667 2.765
Li -3.624 -0.368 -0.440
Nb 0.000 0.000 0.000
O -1.507 -2.320 -2.789
O -2.252 -0.078 3.218
O -3.666 -0.010 -2.274
O -1.800 -1.063 0.105
O -4.118 0.974 0.839
O -4.410 2.231 3.734